Record 1
AcPrZn2Pd2 | PBE | optimized geometry

Cell: 4.5392 4.5392 7.8428 Å, 90.00 90.00 120.00°
Positions (direct):
1 Ac 0.0000 0.0000 0.0000
2 Pr 0.0000 0.0000 0.5000
3 Zn 0.3333 0.6667 0.2722
4 Zn 0.6667 0.3333 0.7278
5 Pd 0.3333 0.6667 0.7387
6 Pd 0.6667 0.3333 0.2613


Record 2
Ac2PrZn2Pd7 | PBE | optimized geometry

Cell: 4.2769 4.2769 14.0285 Å, 96.05 96.05 89.23°
Positions (direct):
1 Ac 0.1091 0.1091 0.3498
2 Ac 0.8909 0.8909 0.6502
3 Pr 0.0000 0.0000 0.0000
4 Zn 0.4185 0.4185 0.7501
5 Zn 0.5815 0.5815 0.2499
6 Pd 0.0489 0.5499 0.1517
7 Pd 0.3628 0.3628 0.5685
8 Pd 0.4501 0.9511 0.8483
9 Pd 0.5000 0.5000 0.0000
10 Pd 0.5499 0.0489 0.1517
11 Pd 0.6372 0.6372 0.4315
12 Pd 0.9511 0.4501 0.8483


Record 3
AcPdPt | PBE | optimized geometry

Cell: 5.6469 5.6784 8.0342 Å, 90.00 90.00 90.00°
Positions (direct):
1 Ac 0.0000 0.2500 0.1258
2 Ac 0.0000 0.7500 0.8742
3 Ac 0.5000 0.2500 0.3742
4 Ac 0.5000 0.7500 0.6258
5 Pd 0.2500 0.2500 0.7500
6 Pd 0.2500 0.7500 0.2500
7 Pd 0.7500 0.2500 0.7500
8 Pd 0.7500 0.7500 0.2500
9 Pt 0.0000 0.0000 0.5000
10 Pt 0.0000 0.5000 0.5000
11 Pt 0.5000 0.0000 0.0000
12 Pt 0.5000 0.5000 0.0000


Record 4
Ac3PdPt3 | PBE | optimized geometry

Cell: 4.2076 4.4579 19.8657 Å, 90.00 90.00 90.00°
Positions (direct):
1 Ac 0.0000 0.0000 0.0000
2 Ac 0.0000 0.0000 0.3666
3 Ac 0.0000 0.5000 0.1803
4 Ac 0.5000 0.0000 0.6803
5 Ac 0.5000 0.5000 0.5000
6 Ac 0.5000 0.5000 0.8666
7 Pd 0.0000 0.5000 0.7514
8 Pd 0.5000 0.0000 0.2514
9 Pt 0.0000 0.0000 0.5274
10 Pt 0.0000 0.0000 0.8391
11 Pt 0.0000 0.5000 0.6174
12 Pt 0.5000 0.0000 0.1174
13 Pt 0.5000 0.5000 0.0274
14 Pt 0.5000 0.5000 0.3391


Record 5
Ac2Pd4Pt3 | PBE | optimized geometry

Cell: 8.3916 8.3916 8.2788 Å, 90.00 90.00 140.68°
Positions (direct):
1 Ac 0.1105 0.8895 0.9180
2 Ac 0.3895 0.6105 0.4180
3 Ac 0.6105 0.3895 0.5820
4 Ac 0.8895 0.1105 0.0820
5 Pd 0.1757 0.8243 0.5049
6 Pd 0.1837 0.3163 0.7500
7 Pd 0.3163 0.1837 0.2500
8 Pd 0.3243 0.6757 0.0049
9 Pd 0.6757 0.3243 0.9951
10 Pd 0.6837 0.8163 0.7500
11 Pd 0.8163 0.6837 0.2500
12 Pd 0.8243 0.1757 0.4951
13 Pt 0.0000 0.0000 0.5000
14 Pt 0.0091 0.4909 0.7500
15 Pt 0.4909 0.0091 0.2500
16 Pt 0.5000 0.5000 0.0000
17 Pt 0.5091 0.9909 0.7500
18 Pt 0.9909 0.5091 0.2500


Record 6
Ac4PdPt | PBE | optimized geometry

Cell: 6.8593 7.6751 8.3383 Å, 90.00 107.74 90.00°
Positions (direct):
1 Ac 0.0013 0.0002 0.2463
2 Ac 0.0013 0.4998 0.2463
3 Ac 0.4461 0.2500 0.6138
4 Ac 0.4485 0.2500 0.1106
5 Ac 0.5515 0.7500 0.8894
6 Ac 0.5539 0.7500 0.3862
7 Ac 0.9987 0.9998 0.7537
8 Ac 0.9987 0.5002 0.7537
9 Pd 0.2071 0.7500 0.5516
10 Pd 0.7929 0.2500 0.4484
11 Pt 0.2080 0.7500 0.0518
12 Pt 0.7920 0.2500 0.9482


Record 7
Ac8PdPt5 | PBE | optimized geometry

Cell: 8.2379 8.2379 8.2379 Å, 109.36 109.36 109.70°
Positions (direct):
1 Ac 0.0110 0.3748 0.2473
2 Ac 0.1273 0.2613 0.7525
3 Ac 0.1275 0.7637 0.7527
4 Ac 0.2363 0.9890 0.3638
5 Ac 0.5088 0.3748 0.2475
6 Ac 0.6252 0.8727 0.1340
7 Ac 0.6252 0.8725 0.6362
8 Ac 0.7387 0.4912 0.8660
9 Pd 0.7500 0.2500 0.5000
10 Pt 0.0000 0.0000 0.0000
11 Pt 0.2462 0.6264 0.1202
12 Pt 0.3736 0.4938 0.6198
13 Pt 0.5062 0.1260 0.8798
14 Pt 0.8740 0.7538 0.3802


Record 8
Ac3PdPt8 | PBE | optimized geometry

Cell: 9.6429 9.6429 9.6429 Å, 33.63 33.63 33.63°
Positions (direct):
1 Ac 0.0000 0.0000 0.0000
2 Ac 0.1307 0.1307 0.1307
3 Ac 0.6093 0.6093 0.6093
4 Pd 0.4869 0.4869 0.4869
5 Pt 0.0589 0.0589 0.5633
6 Pt 0.0589 0.5633 0.0589
7 Pt 0.0616 0.5609 0.5609
8 Pt 0.3105 0.3105 0.3105
9 Pt 0.5609 0.0616 0.5609
10 Pt 0.5609 0.5609 0.0616
11 Pt 0.5633 0.0589 0.0589
12 Pt 0.8110 0.8110 0.8110


| no. | calculated formation energy (eV/atom) | size of the total moment (μB/cell) | DFT total energy (eV per atom) |
| --- | --- | --- | --- |
| 1 | -0.665 | 0.000 | -4.302 |
| 2 | -0.687 | 0.000 | -5.011 |
| 3 | -0.899 | 0.000 | -6.013 |
| 4 | -1.052 | 0.000 | -6.143 |
| 5 | -0.664 | 0.000 | -5.898 |
| 6 | -0.662 | 0.000 | -5.274 |
| 7 | -0.962 | 0.000 | -5.838 |
| 8 | -0.886 | 0.000 | -6.373 |